{
  "formula": "RbNdGaTe3",
  "functional": "PBE",
  "state": "optimized geometry",
  "final_energy_ev_per_atom": -3.997,
  "sg": "No. 63",
  "magnetic_moment_mub_per_fu": 0.00,
  "lattice_angstrom": [[2.4379, -7.8627, 0.0000], [2.4379, 7.8627, 0.0000], [0.0000, 0.0000, 12.0980]],
  "species": ["Rb", "Rb", "Nd", "Nd", "Ga", "Ga", "Te", "Te", "Te", "Te", "Te", "Te"],
  "fractional_positions": [[0.2493, 0.7507, 0.7500], [0.7507, 0.2493, 0.2500], [0.5000, 0.5000, 0.0000], [0.5000, 0.5000, 0.5000], [0.0242, 0.9758, 0.2500], [0.9758, 0.0242, 0.7500], [0.1274, 0.8726, 0.0640], [0.1274, 0.8726, 0.4360], [0.4372, 0.5628, 0.2500], [0.5628, 0.4372, 0.7500], [0.8726, 0.1274, 0.5640], [0.8726, 0.1274, 0.9360]]
}